A geometry-optimized TlCdInF6 structure, computed with PBE-GGA.

POSCAR file:
```
TlCdInF6
1.0
7.817 0.000 0.000
0.000 8.110 0.000
-3.909 -4.055 5.751
F Cd Tl In
12 2 2 2
direct
0.158 0.908 0.315
0.423 0.071 0.238
0.577 0.333 0.762
0.557 0.307 0.114
0.443 0.693 0.886
0.185 0.333 0.762
0.423 0.667 0.238
0.842 0.092 0.685
0.185 0.929 0.762
0.815 0.667 0.238
0.577 0.929 0.762
0.815 0.071 0.238
0.500 0.000 0.500
0.000 0.000 0.500
0.936 0.686 0.872
0.064 0.314 0.128
0.500 0.000 0.000
0.500 0.500 0.000
```

Results
Formation energy from raw total energies (eV per atom): -2.254
DFT total energy (eV/atom): -4.17
N(E_F) (states/eV/f.u.): 0.000
Crystal system: orthorhombic
Density (g/cm³): 4.97
Space-group type: No. 74